Entry 1:
20
Lattice="-1.1263 3.2820 -5.9328 -4.8616 -4.5830 -1.6123 -5.8771 4.8901 3.8209" Properties=species:S:1:pos:R:3 comment="Ho2Si2Au | Alexandria via LeMat-Bulk | PBE-GGA | optimized geometry" e_tot_ev_per_atom=-5.453 vol_a3_per_cell=404 dos_ef_per_ev_cell=10.46 space_group="No. 127" pbc="T T T"
Ho -7.7081 0.8829 -3.4264
Ho -4.1569 2.7062 -0.2979
Ho -2.5067 1.2187 -5.4152
Ho -3.4813 -2.5196 -2.1300
Ho -5.4451 3.6639 -3.5049
Ho -6.4199 -0.0748 -0.2194
Ho -1.2186 0.2611 -2.2085
Ho -4.7694 -1.5621 -5.3367
Si -6.1564 -1.5592 -2.6941
Si -2.7701 2.7033 -2.9406
Si -6.3785 2.3449 1.5273
Si -8.4251 3.6893 -3.3411
Si -5.4865 1.2442 -5.2516
Si -3.4399 -0.1001 -0.3832
Si -9.0950 0.8859 -0.7836
Si -5.7086 5.1483 -1.0302
Au -4.4643 0.5729 -2.8167
Au -4.4088 3.6684 2.8664
Au -7.4007 3.0162 -0.9076
Au -1.4682 1.2217 0.9546



Entry 2:
11
Lattice="-5.0854 2.2403 3.0550 -2.3684 -8.1262 -4.5649 -0.5987 -6.4462 3.7306" Properties=species:S:1:pos:R:3 comment="Os2BrO8 | Alexandria via LeMat-Bulk | PBE-GGA | optimized geometry" e_tot_ev_per_atom=-6.546 vol_a3_per_cell=362 dos_ef_per_ev_cell=10.97 space_group="No. 12" pbc="T T T"
Os -2.8652 -8.2558 1.2848
Os -5.1873 -4.0763 0.9359
Br 0.0000 0.0000 0.0000
O -4.4430 -4.2696 -0.6077
O -6.4353 -6.8177 4.5260
O -2.6138 -6.7049 0.5660
O -5.4387 -5.6272 1.6547
O -1.6172 -5.5145 -2.3053
O -3.6095 -8.0625 2.8284
O -3.8898 -9.1933 0.2665
O -4.1626 -3.1389 1.9542



Entry 3:
9
Lattice="-0.7015 -3.3198 1.8084 -0.9750 -3.5449 -6.8859 7.0802 0.2874 3.2743" Properties=species:S:1:pos:R:3 comment="ErCdAu | Alexandria via LeMat-Bulk | PBE-GGA | optimized geometry" formation_energy_ev_per_atom=-0.653 e_tot_ev_per_atom=-3.572 vol_a3_per_cell=203 dos_ef_per_ev_cell=3.80 space_group="No. 189" pbc="T T T"
Cd 1.2661 -2.5226 -0.0523
Cd -1.0676 -4.2660 -4.1581
Cd 4.8544 -1.4486 3.3113
Au 4.0444 -2.6499 0.7918
Au 1.3593 -3.9274 -2.5950
Au 6.1051 -3.2575 -3.6116
Er 3.6559 -1.9506 -2.1627
Er -0.3911 -1.4221 -2.7625
Er 2.8404 0.1153 1.3135



Entry 4:
7
Lattice="-6.5166 2.0468 -6.1944 -2.0184 -8.9584 -0.8367 1.0603 3.8510 7.0202" Properties=species:S:1:pos:R:3 comment="PaI4Br2 | Alexandria via LeMat-Bulk | PBE-GGA | optimized geometry" e_tot_ev_per_atom=-3.074 vol_a3_per_cell=405 dos_ef_per_ev_cell=9.54 space_group="No. 121" e_above_lowest_polymorph_mev_per_atom=536 pbc="T T T"
Pa -4.2675 -3.4558 -3.5156
I -6.2157 -1.4012 -3.1702
I -4.6538 -5.2226 -1.3099
I -3.5218 -0.9486 1.0084
I -0.5581 1.4514 3.4498
Br -4.8619 1.2210 -1.3449
Br -2.6128 -4.2816 1.3339



Entry 5:
5
Lattice="-2.5356 -4.0314 1.5988 3.7194 -1.0690 3.2033 -2.2288 2.7985 3.5218" Properties=species:S:1:pos:R:3 comment="LaCdCoSn2 | Alexandria via LeMat-Bulk | PBE-GGA | optimized geometry" formation_energy_ev_per_atom=-0.297 e_tot_ev_per_atom=-4.488 vol_a3_per_cell=127 dos_ef_per_ev_cell=3.13 space_group="No. 123" pbc="T T T"
Cd -0.5225 -1.1509 4.1620
Co 0.0000 0.0000 0.0000
Sn 1.8597 -0.5345 1.6016
Sn -1.2678 -2.0157 0.7994
La -1.1144 1.3993 1.7609



Entry 6:
4
Lattice="4.7928 0.0000 0.0000 2.3964 4.1506 0.0000 2.3964 1.3835 3.9133" Properties=species:S:1:pos:R:3 comment="NaLiGaAs | Alexandria via LeMat-Bulk | PBE-GGA | optimized geometry" formation_energy_ev_per_atom=-0.264 e_tot_ev_per_atom=-2.992 vol_a3_per_cell=78 dos_ef_per_ev_cell=0.20 space_group="No. 216" pbc="T T T"
Na 7.1891 4.1506 2.9350
As 4.7928 2.7671 1.9566
Ga 0.0000 0.0000 0.0000
Li 2.3964 1.3835 0.9783